Material: Ir3PbN
Method: DFT, PBE-GGA
State: optimized geometry

Results
Symmetry   Pm-3m, No. 221
Magnetization   5.5 μB per cell
Raw total energy   -21.5 eV per formula unit

Cell: 5.086 5.086 5.086 Å, 90.00 90.00 90.00°
Fractional positions:
Ir (0.500, 0.000, 0.000)
Ir (0.000, 0.000, 0.500)
Ir (0.000, 0.500, 0.000)
N (0.500, 0.500, 0.500)
Pb (0.000, 0.000, 0.000)

***

Material: IrPbN
Method: DFT, PBE-GGA
State: optimized geometry

Results
Symmetry   C2/m, No. 12
Magnetization   0.0 μB per cell
Raw total energy   -20.3 eV per formula unit

Cell: 4.369 4.369 10.857 Å, 96.94 96.94 60.12°
Fractional positions:
N (0.554, 0.554, 0.970)
N (0.446, 0.446, 0.030)
Ir (0.666, 0.666, 0.494)
Ir (0.334, 0.334, 0.506)
Pb (0.032, 0.032, 0.659)
Pb (0.968, 0.968, 0.341)

***

Material: Ir3PbN
Method: DFT, PBE-GGA
State: optimized geometry

Results
Symmetry   Pm-3m, No. 221
Magnetization   0.0 μB per cell
Raw total energy   -34.5 eV per formula unit

Cell: 4.244 4.244 4.244 Å, 90.00 90.00 90.00°
Fractional positions:
Ir (0.000, 0.500, 0.000)
Ir (0.500, 0.000, 0.000)
Ir (0.000, 0.000, 0.500)
N (0.000, 0.000, 0.000)
Pb (0.500, 0.500, 0.500)

***

Material: IrPbN2
Method: DFT, PBE-GGA
State: optimized geometry

Results
Symmetry   R-3m, No. 166
Magnetization   0.0 μB per cell
Raw total energy   -25.1 eV per formula unit

Cell: 6.751 6.751 6.751 Å, 29.95 29.95 29.95°
Fractional positions:
N (0.905, 0.905, 0.905)
N (0.095, 0.095, 0.095)
Pb (0.500, 0.500, 0.500)
Ir (0.000, 0.000, 0.000)

***

no.,formation energy without anion corrections (eV per atom)
1,3.426
2,0.212
3,0.825
4,1.027